A plane-wave DFT calculation with GGA+U was carried out for RbTaV2O8 after structural relaxation.

- space-group type = Pnma, No. 62
- energy (eV/atom) = -7.852
- offset from the most stable computed form (eV/atom) = 0.009

```
48
Lattice="15.6134 0.0000 0.0000 0.0000 5.6800 0.0000 0.0000 0.0000 9.3044" Properties=species:S:1:pos:R:3 pbc="T T T"
Rb 1.5855 1.4200 0.5625
Rb 6.2212 4.2600 5.2147
Rb 9.3922 1.4200 4.0897
Rb 14.0278 4.2600 8.7419
Ta 2.4513 1.4200 4.6713
Ta 5.3554 4.2600 0.0191
Ta 10.2579 1.4200 9.2853
Ta 13.1621 4.2600 4.6331
V 0.8950 4.2600 2.9572
V 2.6399 4.2600 6.9273
V 5.1668 1.4200 2.2751
V 6.9117 1.4200 7.6094
V 8.7016 4.2600 1.6950
V 10.4466 4.2600 7.0293
V 12.9735 1.4200 2.3771
V 14.7184 1.4200 6.3472
O 0.6578 1.4200 5.5192
O 0.6725 4.2600 1.3140
O 1.0438 4.2600 7.3079
O 1.8282 0.0274 3.3936
O 1.8282 2.8126 3.3936
O 3.0406 0.0158 5.9610
O 3.0406 2.8242 5.9610
O 3.5806 4.2600 8.4485
O 4.2260 1.4200 3.7963
O 4.7661 2.8559 1.3088
O 4.7661 5.6642 1.3088
O 5.9784 2.8674 8.0458
O 5.9784 5.6526 8.0458
O 6.7629 1.4200 2.6557
O 7.1342 1.4200 5.9662
O 7.1488 4.2600 0.8670
O 8.4645 1.4200 8.4374
O 8.4792 4.2600 3.3382
O 8.8505 4.2600 6.6487
O 9.6349 0.0274 1.2586
O 9.6349 2.8126 1.2586
O 10.8473 0.0158 7.9956
O 10.8473 2.8242 7.9956
O 11.3873 4.2600 5.5081
O 12.0327 1.4200 0.8559
O 12.5728 2.8559 3.3434
O 12.5728 5.6642 3.3434
O 13.7851 2.8674 5.9108
O 13.7851 5.6526 5.9108
O 14.5696 1.4200 1.9965
O 14.9409 1.4200 7.9904
O 14.9555 4.2600 3.7852
```